Material: TlCuO2F
Method: DFT, PBE-GGA
State: relaxed

Values from the calculation:
Uncorrected formation energy, eV/atom: -0.667
Symmetry: P4/mmm (123)
VASP energy, eV/atom: -4.317

a = 3.9385 Å, b = 3.9385 Å, c = 3.8984 Å
α = 90.00°, β = 90.00°, γ = 90.00°
Element x y z (fractional)
Tl  0.5000  0.5000  0.5000
O  0.0000  0.5000  0.0000
O  0.5000  0.0000  0.0000
Cu  0.0000  0.0000  0.0000
F  0.0000  0.0000  0.5000


Material: TlCuO2F
Method: DFT, PBE-GGA
State: relaxed

Values from the calculation:
Uncorrected formation energy, eV/atom: -0.087
Symmetry: P4/mmm (123)
VASP energy, eV/atom: -3.737

a = 4.2050 Å, b = 4.2050 Å, c = 4.4594 Å
α = 90.00°, β = 90.00°, γ = 90.00°
Last column: magnetic moment on the atom in μB.
Element x y z (fractional)
Tl  0.0000  0.0000  0.0000  0.01
O  0.0000  0.5000  0.0000  -0.17
O  0.5000  0.0000  0.0000  -0.17
Cu  0.5000  0.5000  0.5000  -0.22
F  0.0000  0.0000  0.5000  0.01


Material: TlCuO2F
Method: DFT, PBE-GGA
State: relaxed

Values from the calculation:
Uncorrected formation energy, eV/atom: -0.901
Symmetry: P2_1/m (11)
VASP energy, eV/atom: -4.551

a = 3.6862 Å, b = 5.8836 Å, c = 8.0395 Å
α = 108.14°, β = 90.00°, γ = 90.00°
Element x y z (fractional)
Tl  0.7500  0.2731  0.5978
Tl  0.2500  0.7269  0.4022
Cu  0.2500  0.0127  0.8689
Cu  0.7500  0.9873  0.1311
O  0.7500  0.0535  0.9151
O  0.2500  0.9465  0.0849
O  0.2500  0.0809  0.6560
O  0.7500  0.9191  0.3440
F  0.7500  0.4375  0.3569
F  0.2500  0.5625  0.6431


Material: UCu3O2F6
Method: DFT, PBE-GGA
State: relaxed

Values from the calculation:
Uncorrected formation energy, eV/atom: -2.100
Symmetry: C2/m (12)
VASP energy, eV/atom: -5.827

a = 5.9650 Å, b = 6.1576 Å, c = 8.5401 Å
α = 111.13°, β = 133.64°, γ = 90.00°
Last column: magnetic moment on the atom in μB.
Element x y z (fractional)
U  0.5000  0.0000  0.0000  1.00
Cu  0.0000  0.5000  0.0000  0.36
Cu  0.5000  0.5000  0.5000  0.43
Cu  0.5000  0.0000  0.5000  0.43
O  0.3795  0.6638  0.3276  0.22
O  0.6205  0.3362  0.6724  0.22
F  0.8625  0.3527  0.2339  -0.01
F  0.1375  0.6473  0.7661  -0.01
F  0.6113  0.9008  0.8017  -0.01
F  0.3887  0.0992  0.1983  -0.01
F  0.1375  0.1188  0.7661  -0.01
F  0.8625  0.8812  0.2339  -0.01